# GGA+U FeSO3, optimized geometry
# **SG**: Pm-3m (221)
# **E_tot**: -24.88 eV per formula unit
data_FeSO3
_symmetry_space_group_name_H-M 'P 1'
_symmetry_Int_Tables_number 1
_cell_length_a 3.680
_cell_length_b 3.680
_cell_length_c 3.680
_cell_angle_alpha 90.00
_cell_angle_beta 90.00
_cell_angle_gamma 90.00
loop_
_symmetry_equiv_pos_as_xyz
'x,y,z'
loop_
_atom_site_label
_atom_site_fract_x
_atom_site_fract_y
_atom_site_fract_z
_atom_site_occupancy
Fe1 0.000 0.000 0.000 1
S1 0.500 0.500 0.500 1
O1 0.000 0.500 0.500 1
O2 0.500 0.000 0.500 1
O3 0.500 0.500 0.000 1